# 1
Here is a relaxed structure of Y3SiPt2 from the Alexandria database. Energies are from PBE-GGA.

```
Y3SiPt2
1.0
11.561 0.000 0.000
0.000 4.101 0.000
0.000 0.000 11.664
Y Si Pt
12 4 8
direct
0.055 0.250 0.121
0.119 0.750 0.560
0.200 0.250 0.808
0.300 0.750 0.308
0.381 0.250 0.060
0.445 0.750 0.621
0.555 0.250 0.379
0.619 0.750 0.940
0.700 0.250 0.692
0.800 0.750 0.192
0.881 0.250 0.440
0.945 0.750 0.879
0.125 0.250 0.368
0.375 0.750 0.868
0.625 0.250 0.132
0.875 0.750 0.632
0.022 0.750 0.310
0.188 0.750 0.988
0.312 0.250 0.488
0.478 0.250 0.810
0.522 0.750 0.190
0.688 0.750 0.512
0.812 0.250 0.012
0.978 0.250 0.690
```

Computed properties:
The density of states at the Fermi level comes out at 22.3 states/eV per cell. The calculation puts the uncorrected formation energy at -100 kJ/mol of atoms. Its space group is No. 62. Its calculated volume is 553.0 Å³ per cell.

---

# 2
Here is a relaxed structure of BeNi from the Alexandria database. Energies are from PBE-GGA.

```
BeNi
1.0
1.211 0.699 7.572
-1.211 0.699 7.572
0.000 -1.398 7.572
Be Ni
2 2
direct
0.124 0.124 0.124
0.876 0.876 0.876
0.380 0.380 0.380
0.620 0.620 0.620
```

Computed properties:
The density of states at the Fermi level comes out at 1.5 states/eV per cell. The energy comes out at -4.8563 eV/atom. Its space group is No. 166. Its calculated volume is 38.4 Å³ per cell.

---

# 3
Here is a relaxed structure of SrCaRe2 from the Alexandria database. Energies are from PBE-GGA.

```
SrCaRe2
1.0
3.256 0.000 0.000
0.000 3.256 0.000
-0.016 0.000 9.521
Sr Ca Re
1 1 2
direct
0.000 0.000 0.000
0.503 0.500 0.611
0.002 0.000 0.378
0.501 0.500 0.255
```

Computed properties:
The density of states at the Fermi level comes out at 3.8 states/eV per cell. The value obtained for the energy above the most stable polymorph in this dataset is 0.36 eV per formula unit. Its space group is No. 6. Its calculated volume is 100.9 Å³ per cell.

---

# 4
Here is a relaxed structure of La2IrAu from the Alexandria database. Energies are from PBE-GGA.

```
La2IrAu
1.0
4.606 0.000 0.000
0.000 2.037 5.532
0.000 -2.037 5.532
La Ir Au
2 1 1
direct
0.000 0.000 0.000
0.500 0.279 0.279
0.000 0.741 0.741
0.500 0.561 0.561
```

Computed properties:
The density of states at the Fermi level comes out at 3.2 states/eV per cell. The energy comes out at -6.2657 eV/atom. Its space group is No. 38. Its calculated volume is 103.8 Å³ per cell.

---

# 5
Here is a relaxed structure of BaHo6Te8 from the Alexandria database. Energies are from PBE-GGA.

```
BaHo6Te8
1.0
5.820 3.360 4.767
-5.820 3.360 4.767
0.000 -6.720 4.767
Ba Ho Te
1 6 8
direct
0.000 0.000 0.000
0.198 0.413 0.569
0.413 0.569 0.198
0.431 0.802 0.587
0.569 0.198 0.413
0.587 0.431 0.802
0.802 0.587 0.431
0.131 0.738 0.376
0.247 0.247 0.247
0.262 0.624 0.869
0.376 0.131 0.738
0.624 0.869 0.262
0.738 0.376 0.131
0.753 0.753 0.753
0.869 0.262 0.624
```

Computed properties:
The density of states at the Fermi level comes out at 5.2 states/eV per cell. The calculation puts the uncorrected formation energy at -121 kJ/mol of atoms. Its space group is No. 148. Its calculated volume is 559.3 Å³ per cell.

---

# 6
Here is a relaxed structure of TaMo from the Alexandria database. Energies are from PBE-GGA.

```
TaMo
1.0
7.325 0.000 0.000
-3.663 6.344 0.000
0.000 0.000 4.943
Ta Mo
6 6
direct
0.082 0.624 0.250
0.376 0.458 0.250
0.458 0.082 0.750
0.542 0.918 0.250
0.624 0.542 0.750
0.918 0.376 0.750
0.041 0.798 0.750
0.202 0.244 0.750
0.244 0.041 0.250
0.756 0.959 0.750
0.798 0.756 0.250
0.959 0.202 0.250
```

Computed properties:
The density of states at the Fermi level comes out at 13.7 states/eV per cell. The energy comes out at -10.7069 eV/atom. Its space group is No. 176. Its calculated volume is 229.7 Å³ per cell.